[1]
A plane-wave DFT calculation with GGA-PBE was carried out for crystalline Sm6Dy2Mg at its relaxed geometry.

Cell lengths 5.0941, 10.6689, 10.6689 Å; angles 90.00, 90.00, 90.00 degrees
Sites, in units of the cell vectors:
Sm (0.0000, 0.0011, 0.1674)
Sm (0.0003, 0.6673, 0.5006)
Sm (0.0003, 0.6636, 0.8360)
Sm (0.4997, 0.1636, 0.6639)
Sm (0.4997, 0.1674, 0.9994)
Sm (0.5000, 0.5011, 0.3327)
Sm (0.0000, 0.9989, 0.8326)
Sm (0.9997, 0.3327, 0.4994)
Sm (0.9997, 0.3364, 0.1640)
Sm (0.5003, 0.8364, 0.3361)
Sm (0.5003, 0.8326, 0.0006)
Sm (0.5000, 0.4989, 0.6673)
Dy (0.9997, 0.3320, 0.8323)
Dy (0.5003, 0.8320, 0.6677)
Dy (0.4997, 0.1680, 0.3323)
Dy (0.0003, 0.6680, 0.1677)
Mg (0.5000, 0.5000, 0.0000)
Mg (0.0000, 0.0000, 0.5000)

## Properties
DOS at the Fermi energy = 13.06 states/eV/f.u.
theoretical density = 7168 kg/m3
ΔH_f (0 K) = 21 meV per atom
space-group type = P4_2/mnm, No. 136
polymorph energy (0 for the lowest one) = 0 meV per atom

---

[2]
A plane-wave DFT calculation with GGA-PBE was carried out for crystalline Sr2ZnHgIr at its relaxed geometry.

Cell lengths 5.8045, 5.8045, 4.8318 Å; angles 90.00, 90.00, 90.00 degrees
Sites, in units of the cell vectors:
Sr (0.0000, 0.5000, 0.0000)
Sr (0.5000, 0.0000, 0.0000)
Zn (0.0000, 0.0000, 0.5000)
Ir (0.0000, 0.0000, 0.0000)
Hg (0.5000, 0.5000, 0.5000)

## Properties
DOS at the Fermi energy = 2.64 states/eV/f.u.
theoretical density = 6461 kg/m3
ΔH_f (0 K) = -205 meV per atom
space-group type = P4/mmm, No. 123

---

[3]
A plane-wave DFT calculation with GGA-PBE was carried out for crystalline Na3Ho3ErTe8 at its relaxed geometry.

Cell lengths 8.6819, 8.6854, 9.1894 Å; angles 118.22, 90.00, 119.99 degrees
Sites, in units of the cell vectors:
Na (0.0000, 0.0000, 0.0000)
Na (0.0000, 0.5000, 0.0000)
Na (0.5000, 0.5000, 0.0000)
Ho (0.5000, 0.0000, 0.5000)
Ho (0.5000, 0.5000, 0.5000)
Ho (0.0000, 0.5000, 0.5000)
Er (0.0000, 0.0000, 0.5000)
Te (0.2560, 0.5120, 0.2679)
Te (0.7440, 0.4880, 0.7321)
Te (0.7559, 0.5119, 0.2696)
Te (0.2441, 0.4881, 0.7304)
Te (0.7559, 0.0136, 0.2696)
Te (0.2441, 0.9864, 0.7304)
Te (0.2578, 0.0136, 0.2696)
Te (0.7422, 0.9864, 0.7304)

## Properties
DOS at the Fermi energy = 5.33 states/eV/f.u.
theoretical density = 5785 kg/m3
space-group type = R-3m, No. 166
raw formation energy = -1.244 eV/atom

---

Question: Number 1 is which compound?
Answer: Sm6Dy2Mg

---

Question: Number 1 is which compound?
Answer: Sm6Dy2Mg